Entry w
This record from OQMD via LeMat-Bulk describes a relaxed KHfCuSe2S crystal. The functional is PBE-GGA.

a b c (Å): 7.588 7.588 9.892
angles (deg): 90.00 90.00 150.69
Atoms (fractional coordinates):
K: 0.241 0.759 0.750
K: 0.759 0.241 0.250
Hf: 0.500 0.500 0.000
Hf: 0.500 0.500 0.500
Cu: 0.031 0.969 0.250
Cu: 0.969 0.031 0.750
Se: 0.125 0.875 0.048
Se: 0.125 0.875 0.452
Se: 0.875 0.125 0.548
Se: 0.875 0.125 0.952
S: 0.442 0.558 0.250
S: 0.558 0.442 0.750

Entry x
This record from OQMD via LeMat-Bulk describes a relaxed KHfCuSe2S crystal. The functional is PBE-GGA.

a b c (Å): 8.446 3.850 9.621
angles (deg): 90.00 111.72 90.00
Atoms (fractional coordinates):
K: 0.246 0.250 0.292
K: 0.754 0.750 0.708
Hf: 0.306 0.750 0.829
Hf: 0.694 0.250 0.171
Cu: 0.083 0.250 0.598
Cu: 0.917 0.750 0.402
Se: 0.099 0.250 0.857
Se: 0.457 0.750 0.142
Se: 0.543 0.250 0.858
Se: 0.901 0.750 0.143
S: 0.221 0.750 0.553
S: 0.779 0.250 0.447

Bottom line: entry w, by a margin of 12 meV per atom.

Entry w
This record from OQMD via LeMat-Bulk describes a relaxed KHfCu3Te4 crystal. The functional is PBE-GGA.

a b c (Å): 6.193 8.203 10.566
angles (deg): 90.00 106.79 90.00
Atoms (fractional coordinates):
K: 0.185 0.250 0.393
K: 0.815 0.750 0.607
Hf: 0.143 0.250 0.790
Hf: 0.857 0.750 0.210
Cu: 0.289 0.511 0.998
Cu: 0.289 0.989 0.998
Cu: 0.340 0.750 0.188
Cu: 0.660 0.250 0.812
Cu: 0.711 0.011 0.002
Cu: 0.711 0.489 0.002
Te: 0.031 0.250 0.027
Te: 0.232 0.750 0.417
Te: 0.397 0.520 0.773
Te: 0.397 0.980 0.773
Te: 0.603 0.020 0.227
Te: 0.603 0.480 0.227
Te: 0.768 0.250 0.583
Te: 0.969 0.750 0.973

Entry x
This record from OQMD via LeMat-Bulk describes a relaxed KHfCu3Te4 crystal. The functional is PBE-GGA.

a b c (Å): 6.582 6.582 6.582
angles (deg): 90.00 90.00 90.00
Atoms (fractional coordinates):
K: 0.000 0.000 0.000
Hf: 0.500 0.500 0.500
Cu: 0.000 0.500 0.500
Cu: 0.500 0.000 0.500
Cu: 0.500 0.500 0.000
Te: 0.267 0.267 0.267
Te: 0.267 0.733 0.733
Te: 0.733 0.267 0.733
Te: 0.733 0.733 0.267

Bottom line: entry w, by a margin of 120 meV per atom.